Arrangement A

Density functional theory data (GGA-PBE) for an optimized crystal structure of Be3CrSb. Values from VASP.

```
&SYSTEM
  ibrav = 0, nat = 5, ntyp = 3
/
ATOMIC_SPECIES
Be 9.01 Be.upf
Cr 52.00 Cr.upf
Sb 121.76 Sb.upf
CELL_PARAMETERS angstrom
4.2200 0.0000 0.0000
0.0000 4.2200 0.0000
0.0000 0.0000 4.2200
ATOMIC_POSITIONS angstrom
Be 0.0000 0.0000 2.1100
Be 0.0000 2.1100 0.0000
Be 2.1100 0.0000 0.0000
Cr 0.0000 0.0000 0.0000
Sb 2.1100 2.1100 2.1100
```

Output
magnetization = 0.0 μB/cell
symmetry = Pm-3m, No. 221
V = 15.03 Å³ per atom


Arrangement B

Density functional theory data (GGA-PBE) for an optimized crystal structure of Be3CrSb. Values from VASP.

```
&SYSTEM
  ibrav = 0, nat = 5, ntyp = 3
/
ATOMIC_SPECIES
Be 9.01 Be.upf
Cr 52.00 Cr.upf
Sb 121.76 Sb.upf
CELL_PARAMETERS angstrom
4.5078 0.0000 0.0000
0.0000 4.5078 0.0000
0.0000 0.0000 4.5078
ATOMIC_POSITIONS angstrom
Be 0.0000 0.0000 2.2539
Be 0.0000 2.2539 0.0000
Be 2.2539 0.0000 0.0000
Cr 2.2539 2.2539 2.2539
Sb 0.0000 0.0000 0.0000
```

Output
magnetization = 0.1 μB/cell
symmetry = Pm-3m, No. 221
V = 18.32 Å³ per atom


Most stable: arrangement A


Arrangement A

Density functional theory data (GGA-PBE) for an optimized crystal structure of BeCrSb3. Values from VASP.

```
&SYSTEM
  ibrav = 0, nat = 5, ntyp = 3
/
ATOMIC_SPECIES
Be 9.01 Be.upf
Cr 52.00 Cr.upf
Sb 121.76 Sb.upf
CELL_PARAMETERS angstrom
5.0112 0.0000 0.0000
0.0000 5.0112 0.0000
0.0000 0.0000 5.0112
ATOMIC_POSITIONS angstrom
Be 0.0000 0.0000 0.0000
Cr 2.5056 2.5056 2.5056
Sb 0.0000 2.5056 2.5056
Sb 2.5056 0.0000 2.5056
Sb 2.5056 2.5056 0.0000
```

Output
magnetization = 1.2 μB/cell
symmetry = Pm-3m, No. 221
V = 25.17 Å³ per atom


Arrangement B

Density functional theory data (GGA-PBE) for an optimized crystal structure of BeCrSb3. Values from VASP.

```
&SYSTEM
  ibrav = 0, nat = 5, ntyp = 3
/
ATOMIC_SPECIES
Be 9.01 Be.upf
Cr 52.00 Cr.upf
Sb 121.76 Sb.upf
CELL_PARAMETERS angstrom
4.9134 0.0000 0.0000
0.0000 4.9134 0.0000
0.0000 0.0000 4.9134
ATOMIC_POSITIONS angstrom
Be 0.0000 0.0000 0.0000
Cr 2.4567 2.4567 2.4567
Sb 0.0000 0.0000 2.4567
Sb 0.0000 2.4567 0.0000
Sb 2.4567 0.0000 0.0000
```

Output
magnetization = 4.4 μB/cell
symmetry = Pm-3m, No. 221
V = 23.72 Å³ per atom


Most stable: arrangement B


Arrangement A

Density functional theory data (GGA-PBE) for an optimized crystal structure of BeCrSbTe2. Values from VASP.

```
&SYSTEM
  ibrav = 0, nat = 5, ntyp = 4
/
ATOMIC_SPECIES
Be 9.01 Be.upf
Cr 52.00 Cr.upf
Sb 121.76 Sb.upf
Te 127.60 Te.upf
CELL_PARAMETERS angstrom
5.2460 0.0000 0.0000
0.0000 5.2460 0.0000
0.0000 0.0000 4.3473
ATOMIC_POSITIONS angstrom
Be 0.0000 0.0000 0.0000
Cr 0.0000 0.0000 2.1737
Sb 2.6230 2.6230 0.0000
Te 0.0000 2.6230 2.1737
Te 2.6230 0.0000 2.1737
```

Output
magnetization = 2.9 μB/cell
symmetry = P4/mmm, No. 123
V = 23.93 Å³ per atom


Arrangement B

Density functional theory data (GGA-PBE) for an optimized crystal structure of BeCrSbTe2. Values from VASP.

```
&SYSTEM
  ibrav = 0, nat = 5, ntyp = 4
/
ATOMIC_SPECIES
Be 9.01 Be.upf
Cr 52.00 Cr.upf
Sb 121.76 Sb.upf
Te 127.60 Te.upf
CELL_PARAMETERS angstrom
5.2104 0.0000 0.0000
0.0000 5.2104 0.0000
0.0000 0.0000 5.0319
ATOMIC_POSITIONS angstrom
Be 0.0000 0.0000 0.0000
Cr 2.6052 2.6052 2.5159
Sb 2.6052 2.6052 0.0000
Te 0.0000 2.6052 2.5159
Te 2.6052 0.0000 2.5159
```

Output
magnetization = 2.0 μB/cell
symmetry = P4/mmm, No. 123
V = 27.32 Å³ per atom


Most stable: arrangement A


Arrangement A

Density functional theory data (GGA-PBE) for an optimized crystal structure of BeCrSb2Te. Values from VASP.

```
&SYSTEM
  ibrav = 0, nat = 5, ntyp = 4
/
ATOMIC_SPECIES
Be 9.01 Be.upf
Cr 52.00 Cr.upf
Sb 121.76 Sb.upf
Te 127.60 Te.upf
CELL_PARAMETERS angstrom
5.0089 0.0000 0.0000
0.0000 5.0089 0.0000
0.0000 0.0000 5.2539
ATOMIC_POSITIONS angstrom
Be 0.0000 0.0000 0.0000
Cr 2.5044 2.5044 2.6270
Sb 0.0000 2.5044 2.6270
Sb 2.5044 0.0000 2.6270
Te 2.5044 2.5044 0.0000
```

Output
magnetization = 1.5 μB/cell
symmetry = P4/mmm, No. 123
V = 26.36 Å³ per atom


Arrangement B

Density functional theory data (GGA-PBE) for an optimized crystal structure of BeCrSb2Te. Values from VASP.

```
&SYSTEM
  ibrav = 0, nat = 5, ntyp = 4
/
ATOMIC_SPECIES
Be 9.01 Be.upf
Cr 52.00 Cr.upf
Sb 121.76 Sb.upf
Te 127.60 Te.upf
CELL_PARAMETERS angstrom
4.7871 0.0000 0.0000
0.0000 4.7871 0.0000
0.0000 0.0000 5.0287
ATOMIC_POSITIONS angstrom
Be 0.0000 0.0000 0.0000
Cr 2.3935 2.3935 2.5143
Sb 0.0000 2.3935 0.0000
Sb 2.3935 0.0000 0.0000
Te 0.0000 0.0000 2.5143
```

Output
magnetization = 0.3 μB/cell
symmetry = P4/mmm, No. 123
V = 23.05 Å³ per atom


Most stable: arrangement A